No. 1
Below is a geometry-optimized BaNbSe2Br structure, with properties calculated at the PBE-GGA level.

abc: 5.140 5.140 5.308
angles: 90.00 90.00 90.00
Fractional coordinates of all 5 atoms:
Se  0.500  0.000  0.000
Se  0.000  0.500  0.000
Br  0.000  0.000  0.500
Nb  0.000  0.000  0.000
Ba  0.500  0.500  0.500

Summary:
**Calculated density**: 5.5 g/cm3
**Offset from the most stable computed form**: 0.0 meV per atom
**Symmetry**: P4/mmm
**Magnetization**: 0.000 μB per atom
**Formation energy from raw total energies**: -107 kJ/mol of atoms
**V**: 140 Å³/f.u.

***

No. 2
Below is a geometry-optimized BaNbSe2Br structure, with properties calculated at the PBE-GGA level.

abc: 6.072 6.072 5.926
angles: 90.00 90.00 90.00
Fractional coordinates of all 5 atoms:
Se  0.000  0.500  0.000
Se  0.500  0.000  0.000
Nb  0.500  0.500  0.500
Br  0.000  0.000  0.500
Ba  0.000  0.000  0.000

Summary:
**Calculated density**: 3.6 g/cm3
**Offset from the most stable computed form**: 1662.4 meV per atom
**Symmetry**: P4/mmm
**Magnetization**: 0.421 μB per atom
**Formation energy from raw total energies**: 53 kJ/mol of atoms
**V**: 219 Å³/f.u.

***

No. 3
Below is a geometry-optimized BaNbTl2Br8 structure, with properties calculated at the PBE-GGA level.

abc: 7.193 7.514 9.131
angles: 89.92 90.06 91.19
Fractional coordinates of all 12 atoms:
Br  0.359  0.261  0.500
Br  0.641  0.739  0.500
Br  0.307  0.169  0.001
Br  0.873  0.217  0.796
Br  0.127  0.783  0.204
Br  0.693  0.831  0.999
Br  0.127  0.783  0.797
Br  0.873  0.217  0.203
Tl  0.500  0.500  0.758
Tl  0.500  0.500  0.242
Ba  0.000  0.000  0.500
Nb  0.000  0.000  0.000

Summary:
**Calculated density**: 4.3 g/cm3
**Symmetry**: P-1
**Magnetization**: 0.083 μB per atom
**Formation energy from raw total energies**: -111 kJ/mol of atoms
**V**: 493 Å³/f.u.

***

No. 4
Below is a geometry-optimized BaNdBr structure, with properties calculated at the PBE-GGA level.

abc: 3.990 3.991 16.064
angles: 90.00 90.00 119.99
Fractional coordinates of all 6 atoms:
Br  0.277  0.555  0.869
Br  0.277  0.555  0.131
Nd  0.611  0.221  0.000
Nd  0.278  0.557  0.500
Ba  0.611  0.223  0.703
Ba  0.611  0.223  0.297

Summary:
**Calculated density**: 5.4 g/cm3
**Symmetry**: Amm2
**Magnetization**: 0.003 μB per atom
**Formation energy from raw total energies**: -76 kJ/mol of atoms
**V**: 111 Å³/f.u.

***

No. 5
Below is a geometry-optimized Ba2NdBr6 structure, with properties calculated at the PBE-GGA level.

abc: 7.626 7.626 13.473
angles: 90.00 90.00 90.00
Fractional coordinates of all 18 atoms:
Br  0.780  0.220  0.500
Br  0.796  0.204  0.851
Br  0.204  0.796  0.851
Br  0.204  0.796  0.149
Br  0.220  0.780  0.500
Br  0.296  0.296  0.351
Br  0.280  0.280  0.000
Br  0.796  0.204  0.149
Br  0.704  0.704  0.351
Br  0.720  0.720  0.000
Br  0.704  0.704  0.649
Br  0.296  0.296  0.649
Ba  0.500  0.500  0.823
Ba  0.000  0.000  0.677
Ba  0.000  0.000  0.323
Ba  0.500  0.500  0.177
Nd  0.000  0.000  0.000
Nd  0.500  0.500  0.500

Summary:
**Calculated density**: 3.8 g/cm3
**Symmetry**: P4_2/mnm
**Magnetization**: 0.117 μB per atom
**Formation energy from raw total energies**: -184 kJ/mol of atoms
**V**: 392 Å³/f.u.

***

No. 6
Below is a geometry-optimized RbBaNdBr6 structure, with properties calculated at the PBE-GGA level.

abc: 8.146 8.146 14.205
angles: 90.00 90.00 120.00
Fractional coordinates of all 18 atoms:
Br  0.382  0.031  0.133
Br  0.618  0.649  0.633
Br  0.031  0.649  0.867
Br  0.031  0.382  0.633
Br  0.649  0.031  0.367
Br  0.351  0.969  0.633
Br  0.969  0.351  0.133
Br  0.618  0.969  0.867
Br  0.649  0.618  0.133
Br  0.382  0.351  0.367
Br  0.969  0.618  0.367
Br  0.351  0.382  0.867
Rb  0.000  0.000  0.000
Rb  0.000  0.000  0.500
Ba  0.333  0.667  0.250
Ba  0.667  0.333  0.750
Nd  0.667  0.333  0.250
Nd  0.333  0.667  0.750

Summary:
**Calculated density**: 3.4 g/cm3
**Symmetry**: P-31c
**Magnetization**: 0.000 μB per atom
**Formation energy from raw total energies**: -190 kJ/mol of atoms
**V**: 408 Å³/f.u.

***

No. 7
Below is a geometry-optimized BaNiBr4 structure, with properties calculated at the PBE-GGA level.

abc: 6.676 6.676 6.676
angles: 112.30 112.30 103.95
Fractional coordinates of all 6 atoms:
Br  0.277  0.279  0.554
Br  0.721  0.275  0.998
Br  0.725  0.723  0.446
Br  0.277  0.723  0.002
Ba  0.750  0.250  0.500
Ni  0.500  0.500  0.000

Summary:
**Calculated density**: 3.8 g/cm3
**Offset from the most stable computed form**: 0.0 meV per atom
**Symmetry**: I-4
**Magnetization**: 0.025 μB per atom
**Formation energy from raw total energies**: -114 kJ/mol of atoms
**V**: 228 Å³/f.u.

***

No. 8
Below is a geometry-optimized BaNi3Br structure, with properties calculated at the PBE-GGA level.

abc: 4.672 4.672 4.672
angles: 90.00 90.00 90.00
Fractional coordinates of all 5 atoms:
Ni  0.500  0.000  0.000
Ni  0.000  0.500  0.000
Ni  0.000  0.000  0.500
Br  0.000  0.000  0.000
Ba  0.500  0.500  0.500

Summary:
**Calculated density**: 6.4 g/cm3
**Offset from the most stable computed form**: 0.0 meV per atom
**Symmetry**: Pm-3m
**Magnetization**: 0.000 μB per atom
**Formation energy from raw total energies**: 46 kJ/mol of atoms
**V**: 102 Å³/f.u.

***

No. 9
Below is a geometry-optimized Ba2NiBr structure, with properties calculated at the PBE-GGA level.

abc: 8.750 8.750 8.750
angles: 29.67 29.67 29.67
Fractional coordinates of all 4 atoms:
Ba  0.013  0.013  0.013
Ba  0.487  0.487  0.487
Ni  0.750  0.750  0.750
Br  0.250  0.250  0.250

Summary:
**Calculated density**: 4.7 g/cm3
**Offset from the most stable computed form**: 0.0 meV per atom
**Symmetry**: R-3m
**Magnetization**: 0.000 μB per atom
**Formation energy from raw total energies**: -73 kJ/mol of atoms
**V**: 145 Å³/f.u.

***

No. 10
Below is a geometry-optimized Ba3NiBr2 structure, with properties calculated at the PBE-GGA level.

abc: 8.348 8.348 14.649
angles: 101.36 101.36 107.97
Fractional coordinates of all 24 atoms:
Ba  0.462  0.962  0.500
Ba  0.038  0.538  0.500
Ba  0.592  0.621  0.680
Ba  0.871  0.342  0.180
Ba  0.088  0.059  0.680
Ba  0.788  0.788  0.000
Ba  0.658  0.129  0.820
Ba  0.212  0.212  0.000
Ba  0.309  0.838  0.180
Ba  0.162  0.691  0.820
Ba  0.379  0.408  0.320
Ba  0.941  0.912  0.320
Br  0.255  0.255  0.509
Br  0.505  0.005  0.009
Br  0.745  0.745  0.491
Br  0.578  0.578  0.156
Br  0.828  0.328  0.656
Br  0.422  0.422  0.844
Br  0.995  0.495  0.991
Br  0.672  0.172  0.344
Ni  0.916  0.916  0.832
Ni  0.166  0.666  0.332
Ni  0.334  0.834  0.668
Ni  0.084  0.084  0.168

Summary:
**Calculated density**: 4.6 g/cm3
**Symmetry**: Fddd
**Magnetization**: 0.000 μB per atom
**Formation energy from raw total energies**: -101 kJ/mol of atoms
**V**: 229 Å³/f.u.

***

No. 11
Below is a geometry-optimized Ba2NiBr structure, with properties calculated at the PBE-GGA level.

abc: 5.656 5.656 5.656
angles: 60.00 60.00 60.00
Fractional coordinates of all 4 atoms:
Ba  0.250  0.250  0.250
Ba  0.750  0.750  0.750
Br  0.500  0.500  0.500
Ni  0.000  0.000  0.000

Summary:
**Calculated density**: 5.4 g/cm3
**Offset from the most stable computed form**: 231.7 meV per atom
**Symmetry**: Fm-3m
**Magnetization**: 0.000 μB per atom
**Formation energy from raw total energies**: -51 kJ/mol of atoms
**V**: 128 Å³/f.u.

***

No. 12
Below is a geometry-optimized BaNiBr structure, with properties calculated at the PBE-GGA level.

abc: 4.604 4.604 4.334
angles: 90.00 90.00 120.00
Fractional coordinates of all 3 atoms:
Br  0.667  0.333  0.500
Ba  0.000  0.000  0.000
Ni  0.333  0.667  0.500

Summary:
**Calculated density**: 5.8 g/cm3
**Offset from the most stable computed form**: 0.0 meV per atom
**Symmetry**: P-6m2
**Magnetization**: 0.000 μB per atom
**Formation energy from raw total energies**: -38 kJ/mol of atoms
**V**: 80 Å³/f.u.

***

No. 13
Below is a geometry-optimized Ba2NiBr structure, with properties calculated at the PBE-GGA level.

abc: 5.690 5.690 5.690
angles: 125.69 113.94 90.62
Fractional coordinates of all 4 atoms:
Ni  0.250  0.750  0.500
Ba  0.488  0.488  0.000
Ba  0.012  0.012  0.000
Br  0.750  0.250  0.500

Summary:
**Calculated density**: 5.3 g/cm3
**Offset from the most stable computed form**: 225.8 meV per atom
**Symmetry**: Immm
**Magnetization**: 0.000 μB per atom
**Formation energy from raw total energies**: -51 kJ/mol of atoms
**V**: 129 Å³/f.u.

***

No. 14
Below is a geometry-optimized Ba2NiBr structure, with properties calculated at the PBE-GGA level.

abc: 4.689 4.682 6.546
angles: 90.00 90.00 90.00
Fractional coordinates of all 4 atoms:
Br  0.000  0.000  0.375
Ni  0.500  0.500  0.876
Ba  0.000  0.000  0.875
Ba  0.500  0.500  0.374

Summary:
**Calculated density**: 4.8 g/cm3
**Offset from the most stable computed form**: 93.3 meV per atom
**Symmetry**: P4mm
**Magnetization**: 0.000 μB per atom
**Formation energy from raw total energies**: -64 kJ/mol of atoms
**V**: 144 Å³/f.u.

***

No. 15
Below is a geometry-optimized Ba6Ni2Br structure, with properties calculated at the PBE-GGA level.

abc: 8.021 8.021 8.819
angles: 62.95 62.95 60.00
Fractional coordinates of all 9 atoms:
Ba  0.236  0.878  0.359
Ba  0.688  0.077  0.864
Ba  0.371  0.688  0.864
Ba  0.077  0.371  0.864
Ba  0.878  0.527  0.359
Ba  0.527  0.236  0.359
Br  0.798  0.798  0.606
Ni  0.466  0.466  0.601
Ni  0.293  0.293  0.122

Summary:
**Calculated density**: 4.1 g/cm3
**Symmetry**: R3
**Magnetization**: 0.000 μB per atom
**Formation energy from raw total energies**: -30 kJ/mol of atoms
**V**: 418 Å³/f.u.

***

No. 16
Below is a geometry-optimized BaNiBr3 structure, with properties calculated at the PBE-GGA level.

abc: 5.116 5.116 5.116
angles: 90.00 90.00 90.00
Fractional coordinates of all 5 atoms:
Ba  0.500  0.500  0.500
Br  0.000  0.500  0.000
Br  0.500  0.000  0.000
Br  0.000  0.000  0.500
Ni  0.000  0.000  0.000

Summary:
**Calculated density**: 5.4 g/cm3
**Offset from the most stable computed form**: 0.0 meV per atom
**Symmetry**: Pm-3m
**Magnetization**: 0.003 μB per atom
**Formation energy from raw total energies**: -113 kJ/mol of atoms
**V**: 134 Å³/f.u.

***

No. 17
Below is a geometry-optimized Ba2NiBr structure, with properties calculated at the PBE-GGA level.

abc: 7.467 7.467 7.467
angles: 144.61 144.61 50.92
Fractional coordinates of all 4 atoms:
Br  0.500  0.500  0.000
Ni  0.750  0.250  0.500
Ba  0.250  0.750  0.500
Ba  0.000  0.000  0.000

Summary:
**Calculated density**: 4.9 g/cm3
**Offset from the most stable computed form**: 324.7 meV per atom
**Symmetry**: I-4m2
**Magnetization**: 0.000 μB per atom
**Formation energy from raw total energies**: -42 kJ/mol of atoms
**V**: 139 Å³/f.u.

***

No. 18
Below is a geometry-optimized Ba2NiBr structure, with properties calculated at the PBE-GGA level.

abc: 8.943 5.694 3.880
angles: 90.06 64.20 129.57
Fractional coordinates of all 4 atoms:
Br  0.000  0.500  0.500
Ba  0.000  0.000  0.000
Ba  0.500  0.000  0.500
Ni  0.500  0.500  0.000

Summary:
**Calculated density**: 5.5 g/cm3
**Offset from the most stable computed form**: 198.8 meV per atom
**Symmetry**: P4/mmm
**Magnetization**: 0.000 μB per atom
**Formation energy from raw total energies**: -54 kJ/mol of atoms
**V**: 126 Å³/f.u.

***

No. 19
Below is a geometry-optimized Ba3Ni5Br12 structure, with properties calculated at the PBE-GGA level.

abc: 14.424 14.424 14.424
angles: 109.47 109.47 109.47
Fractional coordinates of all 80 atoms:
Ni  0.125  0.750  0.375
Ni  0.000  0.500  0.000
Ni  0.000  0.500  0.500
Ni  0.125  0.375  0.250
Ni  0.500  0.500  0.000
Ni  0.750  0.625  0.375
Ni  0.875  0.250  0.625
Ni  0.500  0.000  0.500
Ni  0.250  0.875  0.125
Ni  0.875  0.625  0.750
Ni  0.375  0.125  0.750
Ni  0.375  0.250  0.125
Ni  0.750  0.125  0.875
Ni  0.000  0.000  0.500
Ni  0.500  0.500  0.500
Ni  0.000  0.000  0.000
Ni  0.500  0.000  0.000
Ni  0.625  0.875  0.250
Ni  0.625  0.750  0.875
Ni  0.250  0.375  0.625
Br  0.905  0.819  0.515
Br  0.414  0.304  0.319
Br  0.086  0.181  0.196
Br  0.015  0.405  0.819
Br  0.390  0.985  0.804
Br  0.390  0.405  0.086
Br  0.405  0.015  0.319
Br  0.319  0.515  0.405
Br  0.681  0.485  0.595
Br  0.905  0.086  0.890
Br  0.681  0.196  0.586
Br  0.595  0.610  0.414
Br  0.405  0.390  0.586
Br  0.914  0.819  0.804
Br  0.196  0.681  0.086
Br  0.086  0.905  0.390
Br  0.819  0.914  0.304
Br  0.304  0.414  0.819
Br  0.595  0.985  0.681
Br  0.804  0.319  0.914
Br  0.414  0.110  0.595
Br  0.890  0.304  0.485
Br  0.110  0.696  0.515
Br  0.985  0.390  0.304
Br  0.890  0.586  0.905
Br  0.696  0.110  0.015
Br  0.319  0.804  0.414
Br  0.095  0.181  0.485
Br  0.586  0.890  0.405
Br  0.515  0.196  0.110
Br  0.485  0.681  0.095
Br  0.095  0.914  0.110
Br  0.304  0.890  0.985
Br  0.485  0.804  0.890
Br  0.610  0.015  0.196
Br  0.610  0.595  0.914
Br  0.181  0.086  0.696
Br  0.804  0.485  0.390
Br  0.015  0.610  0.696
Br  0.914  0.095  0.610
Br  0.110  0.414  0.095
Br  0.819  0.905  0.015
Br  0.985  0.595  0.181
Br  0.515  0.319  0.905
Br  0.586  0.696  0.681
Br  0.181  0.095  0.985
Br  0.696  0.586  0.181
Br  0.196  0.515  0.610
Ba  0.625  0.375  0.750
Ba  0.125  0.875  0.750
Ba  0.750  0.375  0.125
Ba  0.375  0.625  0.250
Ba  0.625  0.250  0.375
Ba  0.375  0.750  0.625
Ba  0.750  0.875  0.625
Ba  0.875  0.750  0.125
Ba  0.125  0.250  0.875
Ba  0.250  0.625  0.875
Ba  0.875  0.125  0.250
Ba  0.250  0.125  0.375

Summary:
**Calculated density**: 4.8 g/cm3
**Symmetry**: Ia-3d
**Magnetization**: 0.300 μB per atom
**Formation energy from raw total energies**: -93 kJ/mol of atoms
**V**: 578 Å³/f.u.

***

No. 20
Below is a geometry-optimized BaNiBr structure, with properties calculated at the PBE-GGA level.

abc: 5.277 5.277 5.277
angles: 60.00 60.00 60.00
Fractional coordinates of all 3 atoms:
Ni  0.000  0.000  0.000
Br  0.750  0.750  0.750
Ba  0.500  0.500  0.500

Summary:
**Calculated density**: 4.4 g/cm3
**Offset from the most stable computed form**: 273.3 meV per atom
**Symmetry**: F-43m
**Magnetization**: 0.339 μB per atom
**Formation energy from raw total energies**: -11 kJ/mol of atoms
**V**: 104 Å³/f.u.

***

No. 21
Below is a geometry-optimized Ba2NiBr structure, with properties calculated at the PBE-GGA level.

abc: 8.984 8.984 8.984
angles: 153.92 153.05 37.85
Fractional coordinates of all 4 atoms:
Ni  0.199  0.699  0.500
Ba  0.066  0.066  0.000
Ba  0.782  0.282  0.500
Br  0.452  0.452  0.000

Summary:
**Calculated density**: 4.8 g/cm3
**Offset from the most stable computed form**: 123.3 meV per atom
**Symmetry**: Imm2
**Magnetization**: 0.000 μB per atom
**Formation energy from raw total energies**: -61 kJ/mol of atoms
**V**: 144 Å³/f.u.

***

No. 22
Below is a geometry-optimized Ba4NiBr2 structure, with properties calculated at the PBE-GGA level.

abc: 6.066 6.066 9.320
angles: 71.01 71.01 90.00
Fractional coordinates of all 7 atoms:
Ba  0.500  0.000  0.000
Ba  0.000  0.500  0.000
Ba  0.196  0.196  0.608
Ba  0.804  0.804  0.392
Br  0.393  0.393  0.214
Br  0.607  0.607  0.786
Ni  0.000  0.000  0.000

Summary:
**Calculated density**: 4.2 g/cm3
**Symmetry**: I4/mmm
**Magnetization**: 0.014 μB per atom
**Formation energy from raw total energies**: -73 kJ/mol of atoms
**V**: 305 Å³/f.u.